1.
An optimized crystal structure of Cs2AcMo2N6, computed with GGA-PBE.

POSCAR file:
```
Cs2AcMo2N6
1.0
-2.036 5.520 -3.185
0.625 -5.804 -3.430
-6.063 0.657 5.014
Cs N Ac Mo
2 6 1 2
Cartesian
-2.276 1.582 -2.831
-5.199 -1.208 1.229
-5.217 1.594 -0.929
-4.996 1.671 2.885
-2.478 -1.298 -4.487
-2.257 -1.221 -0.672
-6.104 4.674 1.152
-1.371 -4.301 -2.754
-4.050 3.088 0.914
-6.152 0.562 -2.120
-1.322 -0.189 0.518
```

Summary:
- Mass density: 4.85 g/cm3
- M_tot: 3.06 Bohr magnetons per cell
- Formation energy (no corrections): -7.84 kJ/mol of atoms
- Space group: No. 12
- N(E_F): 8.33 states/eV/cell

2.
An optimized crystal structure of MgIn2Os, computed with GGA-PBE.

POSCAR file:
```
MgIn2Os
1.0
4.751 0.000 0.000
2.376 4.115 0.000
2.376 1.372 3.879
In Mg Os
2 1 1
Cartesian
0.000 0.000 0.000
2.376 1.372 0.970
4.751 2.743 1.940
7.127 4.115 2.909
```

Summary:
- Mass density: 9.73 g/cm3
- M_tot: 0.00 Bohr magnetons per cell
- Energy relative to the elements: 0.44 eV per atom
- Space group: No. 216
- N(E_F): 2.95 states/eV/cell

3.
An optimized crystal structure of Zn5Cu3, computed with GGA-PBE.

POSCAR file:
```
Zn5Cu3
1.0
7.211 -0.001 0.000
3.607 6.244 0.000
0.000 0.000 4.969
Zn Cu
10 6
Cartesian
3.606 2.081 2.484
3.606 2.081 0.000
7.212 4.162 0.000
1.651 0.000 1.242
4.432 4.814 3.727
5.560 -0.001 3.727
0.826 1.430 3.727
2.781 4.814 1.242
6.386 1.429 1.242
7.212 4.162 2.484
2.154 3.730 3.727
5.058 3.729 1.242
1.453 2.515 1.242
5.760 2.514 3.727
7.914 6.243 1.242
2.904 -0.001 3.727
```

Summary:
- Mass density: 7.68 g/cm3
- M_tot: 0.00 Bohr magnetons per cell
- Energy relative to the elements: -0.01 eV per atom
- Energy above the lowest structure with this stoichiometry: 0.45 eV per formula unit
- Space group: No. 193
- N(E_F): 3.15 states/eV/cell